No. 1
An optimized crystal structure of Ce4Sb, computed with PBE.

abc: 5.5408 6.8934 8.0717
angles: 98.06 90.00 90.00
Each line ends with the local moment (μB).
Atoms (fractional coordinates):
Ce: 0.3152 0.2735 0.2456  0.48
Ce: 0.8152 0.7265 0.2544  0.48
Ce: 0.6848 0.7265 0.7544  0.48
Ce: 0.1848 0.2735 0.7456  0.48
Ce: 0.8009 0.4010 0.5427  0.52
Ce: 0.3009 0.5990 0.9573  0.52
Ce: 0.1991 0.5990 0.4573  0.52
Ce: 0.6991 0.4010 0.0427  0.52
Sb: 0.0000 0.0000 0.0000  -0.01
Sb: 0.5000 0.0000 0.5000  -0.01

Formation energy (no corrections) (meV/atom): -121
Density (Mg/m³): 7.42
Final energy (eV/cell): -56.93
Polymorph energy (0 for the lowest one) (meV/atom): 237



No. 2
An optimized crystal structure of Tl2CdPt, computed with PBE.

abc: 5.1300 5.1300 5.1300
angles: 121.84 121.84 86.83
Atoms (fractional coordinates):
Tl: 0.0000 0.0000 0.0000
Tl: 0.2500 0.7500 0.5000
Pt: 0.7500 0.2500 0.5000
Cd: 0.5000 0.5000 0.0000

Density (Mg/m³): 12.84
Final energy (eV/cell): -11.27
Polymorph energy (0 for the lowest one) (meV/atom): 181
ΔH_f (0 K) (meV/atom): 104



No. 3
An optimized crystal structure of Sc2TcBi, computed with PBE.

abc: 4.3519 4.3519 10.2097
angles: 77.69 77.69 90.00
Each line ends with the local moment (μB).
Atoms (fractional coordinates):
Sc: 0.6126 0.1250 0.2500  -0.11
Sc: 0.1374 0.6250 0.2500  -0.11
Sc: 0.3750 0.3874 0.7500  -0.11
Sc: 0.8750 0.8626 0.7500  -0.11
Bi: 0.0000 0.0000 0.0000  0.00
Bi: 0.7500 0.2500 0.5000  0.00
Tc: 0.5000 0.5000 0.0000  1.01
Tc: 0.2500 0.7500 0.5000  1.01

Density (Mg/m³): 7.15
Final energy (eV/cell): -50.52
ΔH_f (0 K) (meV/atom): 412



No. 4
An optimized crystal structure of K2ZnW, computed with PBE.

abc: 2.8756 2.8756 12.2039
angles: 90.00 90.00 70.54
Atoms (fractional coordinates):
K: 0.0000 0.0000 0.0022
K: 0.0000 0.0000 0.4978
W: 0.5000 0.5000 0.2500
Zn: 0.5000 0.5000 0.7500

Density (Mg/m³): 5.71
Final energy (eV/cell): -11.89
ΔH_f (0 K) (meV/atom): 1133



Copy entry 2 word for word.
An optimized crystal structure of Tl2CdPt, computed with PBE.

abc: 5.1300 5.1300 5.1300
angles: 121.84 121.84 86.83
Atoms (fractional coordinates):
Tl: 0.0000 0.0000 0.0000
Tl: 0.2500 0.7500 0.5000
Pt: 0.7500 0.2500 0.5000
Cd: 0.5000 0.5000 0.0000

Density (Mg/m³): 12.84
Final energy (eV/cell): -11.27
Polymorph energy (0 for the lowest one) (meV/atom): 181
ΔH_f (0 K) (meV/atom): 104



Q: The lowest density belongs to which entry?
A: K2ZnW